[1]
A relaxed SnWAu2 crystal. Source: the Alexandria database, functional PBE.

```
data_SnWAu2
_chemical_formula_sum 'Sn4 W4 Au8'
_cell_length_a 7.5333
_cell_length_b 7.5333
_cell_length_c 5.6417
_cell_angle_alpha 90.00
_cell_angle_beta 90.00
_cell_angle_gamma 90.00
_space_group_name_H-M_alt 'I -4 2 d'
_space_group_IT_number 122
_space_group_name_Hall 'I -4 2bw'
loop_
_atom_site_label
_atom_site_type_symbol
_atom_site_fract_x
_atom_site_fract_y
_atom_site_fract_z
_atom_site_occupancy
Sn1 Sn 0.0000 0.0000 0.0000 1
W1 W 0.0000 0.0000 0.5000 1
Au1 Au 0.2412 0.2500 0.6250 1
```

Properties
Its formation enthalpy at 0 K is 227 kJ/mol of formula units.

=====

[2]
A relaxed SnWAu3 crystal. Source: the Alexandria database, functional PBE.

```
data_SnWAu3
_chemical_formula_sum 'Sn1 W1 Au3'
_cell_length_a 4.9864
_cell_length_b 4.9864
_cell_length_c 4.9864
_cell_angle_alpha 90.00
_cell_angle_beta 90.00
_cell_angle_gamma 90.00
_space_group_name_H-M_alt 'P m -3 m'
_space_group_IT_number 221
_space_group_name_Hall '-P 4 2 3'
loop_
_atom_site_label
_atom_site_type_symbol
_atom_site_fract_x
_atom_site_fract_y
_atom_site_fract_z
_atom_site_occupancy
Sn1 Sn 0.0000 0.0000 0.0000 1
W1 W 0.5000 0.5000 0.5000 1
Au1 Au 0.0000 0.0000 0.5000 1
```

Properties
Its formation enthalpy at 0 K is 841 kJ/mol of formula units. The calculation puts the energy above the most stable polymorph in this dataset at 0.7254 eV/atom.

=====

[3]
A relaxed SnWAu3 crystal. Source: the Alexandria database, functional PBE.

```
data_SnWAu3
_chemical_formula_sum 'Sn1 W1 Au3'
_cell_length_a 5.0803
_cell_length_b 5.0803
_cell_length_c 5.0803
_cell_angle_alpha 90.00
_cell_angle_beta 90.00
_cell_angle_gamma 90.00
_space_group_name_H-M_alt 'P m -3 m'
_space_group_IT_number 221
_space_group_name_Hall '-P 4 2 3'
loop_
_atom_site_label
_atom_site_type_symbol
_atom_site_fract_x
_atom_site_fract_y
_atom_site_fract_z
_atom_site_occupancy
Sn1 Sn 0.0000 0.0000 0.0000 1
W1 W 0.5000 0.5000 0.5000 1
Au1 Au 0.0000 0.5000 0.5000 1
```

Properties
Its formation enthalpy at 0 K is 491 kJ/mol of formula units. The calculation puts the energy above the most stable polymorph in this dataset at 0.0000 eV/atom.

=====

[4]
A relaxed Y2SnAu2 crystal. Source: the Alexandria database, functional PBE.

```
data_Y2SnAu2
_chemical_formula_sum 'Y4 Sn2 Au4'
_cell_length_a 7.9627
_cell_length_b 7.9627
_cell_length_c 3.7679
_cell_angle_alpha 90.00
_cell_angle_beta 90.00
_cell_angle_gamma 90.00
_space_group_name_H-M_alt 'P 4/m b m'
_space_group_IT_number 127
_space_group_name_Hall '-P 4 2ab'
loop_
_atom_site_label
_atom_site_type_symbol
_atom_site_fract_x
_atom_site_fract_y
_atom_site_fract_z
_atom_site_occupancy
Y1 Y 0.1695 0.3305 0.0000 1
Sn1 Sn 0.0000 0.0000 0.5000 1
Au1 Au 0.1275 0.6275 0.5000 1
```

Properties
Its formation enthalpy at 0 K is -410 kJ/mol of formula units.

=====

[5]
A relaxed YSn2Au2 crystal. Source: the Alexandria database, functional PBE.

```
data_YSn2Au2
_chemical_formula_sum 'Y2 Sn4 Au4'
_cell_length_a 4.3559
_cell_length_b 4.3559
_cell_length_c 12.6975
_cell_angle_alpha 90.00
_cell_angle_beta 90.00
_cell_angle_gamma 90.00
_space_group_name_H-M_alt 'I 4/m m m'
_space_group_IT_number 139
_space_group_name_Hall '-I 4 2'
loop_
_atom_site_label
_atom_site_type_symbol
_atom_site_fract_x
_atom_site_fract_y
_atom_site_fract_z
_atom_site_occupancy
Y1 Y 0.0000 0.0000 0.0000 1
Sn1 Sn 0.0000 0.5000 0.2500 1
Au1 Au 0.0000 0.0000 0.3958 1
```

Properties
Its formation enthalpy at 0 K is -205 kJ/mol of formula units.

=====

[6]
A relaxed Y2Sn2Au crystal. Source: the Alexandria database, functional PBE.

```
data_Y2Sn2Au
_chemical_formula_sum 'Y4 Sn4 Au2'
_cell_length_a 7.4151
_cell_length_b 7.4151
_cell_length_c 4.6136
_cell_angle_alpha 90.00
_cell_angle_beta 90.00
_cell_angle_gamma 90.00
_space_group_name_H-M_alt 'P 4/m b m'
_space_group_IT_number 127
_space_group_name_Hall '-P 4 2ab'
loop_
_atom_site_label
_atom_site_type_symbol
_atom_site_fract_x
_atom_site_fract_y
_atom_site_fract_z
_atom_site_occupancy
Y1 Y 0.1693 0.3307 0.0000 1
Sn1 Sn 0.1387 0.6387 0.5000 1
Au1 Au 0.0000 0.0000 0.5000 1
```

Properties
Its formation enthalpy at 0 K is -326 kJ/mol of formula units. The calculation puts the energy above the most stable polymorph in this dataset at 0.0000 eV/atom.

=====

[7]
A relaxed Y3Sn3Au crystal. Source: the Alexandria database, functional PBE.

```
data_Y3Sn3Au
_chemical_formula_sum 'Y12 Sn12 Au4'
_cell_length_a 11.3273
_cell_length_b 4.5221
_cell_length_c 15.0143
_cell_angle_alpha 90.00
_cell_angle_beta 109.01
_cell_angle_gamma 90.00
_space_group_name_H-M_alt 'C 1 2/m 1'
_space_group_IT_number 12
loop_
_space_group_symop_operation_xyz
'x,y,z'
'-x,-y,-z'
'-x,y,-z'
'x,-y,z'
'x+1/2,y+1/2,z'
'-x+1/2,-y+1/2,-z'
'-x+1/2,y+1/2,-z'
'x+1/2,-y+1/2,z'
loop_
_atom_site_label
_atom_site_type_symbol
_atom_site_fract_x
_atom_site_fract_y
_atom_site_fract_z
_atom_site_occupancy
Y1 Y 0.0196 0.0000 0.3770 1
Y2 Y 0.1014 0.0000 0.9249 1
Y3 Y 0.2300 0.0000 0.2291 1
Sn1 Sn 0.0047 0.5000 0.2267 1
Sn2 Sn 0.1266 0.5000 0.0760 1
Sn3 Sn 0.1398 0.5000 0.5422 1
Au1 Au 0.2275 0.5000 0.3789 1
```

Properties
Its formation enthalpy at 0 K is -512 kJ/mol of formula units.

=====

[8]
A relaxed YSnAu3 crystal. Source: the Alexandria database, functional PBE.

```
data_YSnAu3
_chemical_formula_sum 'Y1 Sn1 Au3'
_cell_length_a 5.3833
_cell_length_b 5.3833
_cell_length_c 5.3833
_cell_angle_alpha 90.00
_cell_angle_beta 90.00
_cell_angle_gamma 90.00
_space_group_name_H-M_alt 'P m -3 m'
_space_group_IT_number 221
_space_group_name_Hall '-P 4 2 3'
loop_
_atom_site_label
_atom_site_type_symbol
_atom_site_fract_x
_atom_site_fract_y
_atom_site_fract_z
_atom_site_occupancy
Y1 Y 0.0000 0.0000 0.0000 1
Sn1 Sn 0.5000 0.5000 0.5000 1
Au1 Au 0.0000 0.0000 0.5000 1
```

Properties
Its formation enthalpy at 0 K is 188 kJ/mol of formula units. The calculation puts the energy above the most stable polymorph in this dataset at 0.3268 eV/atom.